Run P
# Fe5Co3

A relaxed structure of Fe5Co3 (PBEsol, Alexandria).

Results
- space-group type = No. 35
- crystal system = orthorhombic

```
8
Lattice="2.416 -0.002 0.000 -0.822 2.272 0.000 0.000 0.000 15.819" Properties=species:S:1:pos:R:3 pbc="T T T"
Co 0.000 0.000 0.009
Co 0.797 1.135 1.974
Co 0.000 0.000 7.904
Fe 0.000 0.000 3.934
Fe 0.797 1.135 5.931
Fe 0.797 1.135 9.875
Fe 0.000 0.000 11.871
Fe 0.797 1.135 13.868
```


Run Q
# Fe5Co3

A relaxed structure of Fe5Co3 (PBEsol, Alexandria).

Results
- space-group type = No. 38
- crystal system = orthorhombic

```
8
Lattice="-1.969 0.573 -1.882 0.121 -5.297 -1.741 -4.039 1.322 4.630" Properties=species:S:1:pos:R:3 pbc="T T T"
Co -1.965 -1.987 1.451
Co -1.906 -2.689 -0.884
Co -2.026 0.657 2.320
Fe 0.081 -3.971 -1.295
Fe -3.895 -3.352 0.996
Fe -1.983 -0.046 0.003
Fe 0.020 -1.333 -0.427
Fe -3.957 -0.705 1.868
```


Run R
# Fe5Co3

A relaxed structure of Fe5Co3 (PBEsol, Alexandria).

Results
- space-group type = No. 12
- crystal system = monoclinic

```
8
Lattice="-2.294 -0.129 0.774 0.774 -4.468 -0.897 3.317 1.256 7.464" Properties=species:S:1:pos:R:3 pbc="T T T"
Co 0.519 -2.820 3.640
Co -0.760 -2.299 -0.061
Co 1.278 -0.522 3.701
Fe 2.682 -1.866 5.129
Fe -0.884 -1.476 2.212
Fe 1.150 0.303 5.964
Fe 0.000 0.000 0.000
Fe 0.647 -3.645 1.377
```


Run S
# Fe5Co3

A relaxed structure of Fe5Co3 (PBEsol, Alexandria).

Results
- space-group type = No. 139
- crystal system = tetragonal

```
8
Lattice="3.957 0.000 0.000 0.000 3.957 0.000 -1.978 -1.978 5.598" Properties=species:S:1:pos:R:3 pbc="T T T"
Co 1.978 1.978 2.802
Co 0.000 0.000 0.000
Co 0.000 0.000 2.796
Fe 0.000 1.978 4.198
Fe 1.978 0.000 1.400
Fe 1.978 0.000 4.198
Fe 1.978 1.978 0.000
Fe 0.000 1.978 1.400
```


Which is less stable than every other structure shown? run P is.